First-principles (GGA-PBE) data for a relaxed structure of PuTaV, as listed in Alexandria via LeMat-Bulk.

Results
ΔE to the lowest computed polymorph = 234 meV/atom
DFT formation energy = 0.5178 eV/atom

Cell: 5.722 5.179 5.635 Å, 73.71 59.49 56.47°
Each line ends with the local moment (μB).
Fractional coordinates of all 6 atoms:
V1 0.648 0.000 0.704  -1.39
V2 0.352 0.000 0.296  -1.39
Pu1 0.838 0.324 0.000  5.00
Pu2 0.162 0.676 0.000  5.00
Ta1 0.250 0.500 0.500  -0.06
Ta2 0.750 0.500 0.500  -0.06